DFT (GGA-PBE) results for a relaxed structure of Tb5Nd2Y5.

Total DFT energy (no corrections), eV/atom: -5.36
Energy relative to the elements, eV/atom: 0.06
Density of states at the Fermi level, states/eV/cell: 20.440

Unit cell a=9.028 b=9.028 c=9.730 alpha=122.57 beta=122.57 gamma=36.71
Element x y z (fractional)
Tb 0.000 0.000 0.000
Tb 0.123 0.123 0.464
Tb 0.125 0.125 0.798
Tb 0.875 0.875 0.202
Tb 0.877 0.877 0.536
Nd 0.372 0.372 0.049
Nd 0.628 0.628 0.951
Y 0.250 0.250 0.259
Y 0.376 0.376 0.715
Y 0.500 0.500 0.500
Y 0.624 0.624 0.285
Y 0.750 0.750 0.741

DFT (GGA-PBE) results for a relaxed structure of Tb3Nd8Y4.

Total DFT energy (no corrections), eV/atom: -4.86
Energy relative to the elements, eV/atom: 0.33
Density of states at the Fermi level, states/eV/cell: 23.265

Unit cell a=9.242 b=9.242 c=6.945 alpha=110.90 beta=110.90 gamma=82.82
Element x y z (fractional)
Tb 0.000 0.000 0.000
Tb 0.000 0.500 0.000
Tb 0.500 0.000 0.000
Nd 0.202 0.202 0.680
Nd 0.205 0.795 0.500
Nd 0.252 0.748 0.000
Nd 0.254 0.254 0.216
Nd 0.746 0.746 0.784
Nd 0.748 0.252 0.000
Nd 0.795 0.205 0.500
Nd 0.798 0.798 0.320
Y 0.000 0.500 0.500
Y 0.500 0.000 0.500
Y 0.500 0.500 0.000
Y 0.500 0.500 0.500

DFT (GGA-PBE) results for a relaxed structure of TbNdY4.

Total DFT energy (no corrections), eV/atom: -5.81
Energy relative to the elements, eV/atom: 0.07
Density of states at the Fermi level, states/eV/cell: 9.775

Unit cell a=5.701 b=5.701 c=6.943 alpha=90.02 beta=90.02 gamma=120.07
Element x y z (fractional)
Tb 0.000 0.000 0.000
Nd 0.000 0.000 0.500
Y 0.333 0.666 0.247
Y 0.334 0.667 0.753
Y 0.666 0.333 0.247
Y 0.667 0.334 0.753